No. 1
{
  "formula": "PrGdBi",
  "functional": "PBE-GGA",
  "state": "relaxed",
  "energy_ev_per_cell": -24.366,
  "m_tot_mub_per_fu": 8.179,
  "ef_ev_per_atom": -0.542,
  "lattice_angstrom": [[4.174, 0.000, 0.000], [0.000, 4.174, 0.000], [-2.087, -2.087, 5.414]],
  "species": ["Pr", "Gd", "Bi"],
  "fractional_positions": [[0.626, 0.626, 0.251], [0.936, 0.936, 0.872], [0.288, 0.288, 0.576]]
}

=====

No. 2
{
  "formula": "DyCdIn2",
  "functional": "PBE-GGA",
  "state": "relaxed",
  "energy_ev_per_cell": -11.763,
  "m_tot_mub_per_fu": 0.229,
  "ef_ev_per_atom": -0.192,
  "lattice_angstrom": [[3.640, 0.000, 0.000], [0.000, 3.640, 0.000], [0.000, 0.000, 7.657]],
  "species": ["Cd", "In", "In", "Dy"],
  "fractional_positions": [[0.500, 0.500, 0.500], [0.000, 0.000, 0.733], [0.000, 0.000, 0.267], [0.500, 0.500, 0.000]]
}

=====

No. 3
{
  "formula": "ZrSc2Ni",
  "functional": "PBE-GGA",
  "state": "relaxed",
  "energy_ev_per_cell": -27.933,
  "m_tot_mub_per_fu": 0.000,
  "ef_ev_per_atom": -0.235,
  "lattice_angstrom": [[-1.069, 2.571, 1.605], [-2.998, -0.649, -0.956], [-1.048, -4.319, 6.222]],
  "species": ["Sc", "Sc", "Ni", "Zr"],
  "fractional_positions": [[0.000, 0.000, 0.953], [0.000, 0.000, 0.547], [0.500, 0.500, 0.750], [0.500, 0.500, 0.250]]
}

=====

No. 4
{
  "formula": "AlV2CdTc",
  "functional": "PBE-GGA",
  "state": "relaxed",
  "energy_ev_per_cell": -28.076,
  "m_tot_mub_per_fu": 3.316,
  "ef_ev_per_atom": 1.037,
  "lattice_angstrom": [[4.574, 0.000, 0.000], [0.000, 5.193, 0.000], [0.000, 0.000, 4.574]],
  "species": ["Al", "V", "V", "Tc", "Cd"],
  "fractional_positions": [[0.500, 0.500, 0.500], [0.000, 0.000, 0.500], [0.500, 0.000, 0.000], [0.000, 0.000, 0.000], [0.000, 0.500, 0.000]]
}

=====

Copy entry 4 word for word.
{
  "formula": "AlV2CdTc",
  "functional": "PBE-GGA",
  "state": "relaxed",
  "energy_ev_per_cell": -28.076,
  "m_tot_mub_per_fu": 3.316,
  "ef_ev_per_atom": 1.037,
  "lattice_angstrom": [[4.574, 0.000, 0.000], [0.000, 5.193, 0.000], [0.000, 0.000, 4.574]],
  "species": ["Al", "V", "V", "Tc", "Cd"],
  "fractional_positions": [[0.500, 0.500, 0.500], [0.000, 0.000, 0.500], [0.500, 0.000, 0.000], [0.000, 0.000, 0.000], [0.000, 0.500, 0.000]]
}